1.
Entry from Alexandria: crystalline YOsPb2 at its relaxed geometry (PBE).

Properties
* ΔH_f (0 K): 0.140 eV/atom
* uncorrected energy: -6.138 eV per atom
* symmetry: Pm (6)
* DOS(E_F): 2.29 states/eV/cell
* distance to the lowest polymorph of the same formula: 0.00 eV per formula unit

Cell: 4.5306 3.5226 6.9808 Å, 90.00 108.67 90.00°
Closest atoms and distances in Å follow each position.
Sites, in units of the cell vectors:
Y: 0.0000 0.0000 0.0000  4 Os 2.92
Os: 0.4607 0.5000 0.9207  3 Pb 2.74-2.84, 4 Y 2.92
Pb: 0.2910 0.0000 0.5845  2 Os 2.84
Pb: 0.6667 0.5000 0.3356  1 Os 2.74

---

2.
Entry from Alexandria: crystalline PmSnHPd2 at its relaxed geometry (PBE).

Properties
* uncorrected energy: -5.191 eV per atom
* symmetry: Cmcm (63)
* DOS(E_F): 3.82 states/eV/cell

Cell: 6.1161 6.1161 7.5769 Å, 90.00 90.00 140.79°
Closest atoms and distances in Å follow each position.
Sites, in units of the cell vectors:
Pm: 0.0551 0.9449 0.7500  4 H 2.86
Pm: 0.9449 0.0551 0.2500  4 H 2.86
Sn: 0.2265 0.7735 0.2500  6 Pd 2.70-2.71
Sn: 0.7735 0.2265 0.7500  6 Pd 2.70-2.71
H: 0.5000 0.5000 0.0000  2 Pd 1.75
H: 0.5000 0.5000 0.5000  2 Pd 1.75
Pd: 0.3524 0.6476 0.5525  1 H 1.75
Pd: 0.3524 0.6476 0.9475  1 H 1.75
Pd: 0.6476 0.3524 0.0525  1 H 1.75
Pd: 0.6476 0.3524 0.4475  1 H 1.75

---

3.
Entry from Alexandria: crystalline PrSm5Y at its relaxed geometry (PBE).

Properties
* ΔH_f (0 K): 0.172 eV/atom
* uncorrected energy: -4.805 eV per atom
* symmetry: C2/c (15)
* DOS(E_F): 19.51 states/eV/cell
* distance to the lowest polymorph of the same formula: 0.05 eV per formula unit

Cell: 6.9177 6.9177 12.3872 Å, 107.77 107.77 60.07°
Closest atoms and distances in Å follow each position.
Sites, in units of the cell vectors:
Pr: 0.0000 0.5000 0.0000  4 Sm 3.34-3.66
Pr: 0.5000 0.0000 0.5000  4 Sm 3.34-3.66
Sm: 0.0789 0.9211 0.2500  2 Sm 3.02, 1 Y 3.10
Sm: 0.0844 0.3546 0.2501  2 Sm 3.02-3.31, 1 Pr 3.34
Sm: 0.1516 0.6923 0.4986  4 Sm 3.31-3.68, 1 Y 3.37
Sm: 0.3077 0.8484 0.0014  4 Sm 3.31-3.68, 1 Y 3.37
Sm: 0.3546 0.0844 0.7501  2 Sm 3.02-3.31, 1 Pr 3.34
Sm: 0.6454 0.9156 0.2499  2 Sm 3.02-3.31, 1 Pr 3.34
Sm: 0.6923 0.1516 0.9986  4 Sm 3.31-3.68, 1 Y 3.37
Sm: 0.8484 0.3077 0.5014  4 Sm 3.31-3.68, 1 Y 3.37
Sm: 0.9156 0.6454 0.7499  2 Sm 3.02-3.31, 1 Pr 3.34
Sm: 0.9211 0.0789 0.7500  2 Sm 3.02, 1 Y 3.10
Y: 0.4736 0.5264 0.7500  3 Sm 3.10-3.37
Y: 0.5264 0.4736 0.2500  3 Sm 3.10-3.37

---

4.
Entry from Alexandria: crystalline ZrUSe2O at its relaxed geometry (PBE).

Properties
* uncorrected energy: -8.239 eV per atom
* symmetry: P4/nmm (129)
* uncorrected formation energy: -181.99 kJ/mol of atoms
* DOS(E_F): 16.36 states/eV/cell

Cell: 3.7996 3.7996 13.5463 Å, 90.00 90.00 90.00°
Closest atoms and distances in Å follow each position.
Sites, in units of the cell vectors:
Zr: 0.2500 0.2500 0.0799  6 Se 2.76-2.93
Zr: 0.7500 0.7500 0.9201  6 Se 2.76-2.93
U: 0.2500 0.2500 0.5984  4 O 2.32
U: 0.7500 0.7500 0.4016  4 O 2.32
Se: 0.2500 0.2500 0.2962  1 Zr 2.93, 4 U 3.04
Se: 0.2500 0.2500 0.8745  5 Zr 2.76-2.78
Se: 0.7500 0.7500 0.1255  5 Zr 2.76-2.78
Se: 0.7500 0.7500 0.7038  1 Zr 2.93, 4 U 3.04
O: 0.2500 0.7500 0.5000  4 U 2.32
O: 0.7500 0.2500 0.5000  4 U 2.32